1.
Density functional theory data (PBE) for an optimized crystal structure of ZnNiMoIr.

a b c (Å): 4.284 4.284 4.284
angles (deg): 60.00 60.00 60.00
Atoms (fractional coordinates):
Mo (0.250, 0.250, 0.250)
Ni (0.750, 0.750, 0.750)
Ir (0.500, 0.500, 0.500)
Zn (0.000, 0.000, 0.000)

Output
As for the electronic total energy: -6.60 eV per atom. As for the space-group type: F-43m, No. 216.

2.
Density functional theory data (PBE) for an optimized crystal structure of LaPrNi2B2Pt6.

a b c (Å): 5.488 5.488 7.394
angles (deg): 90.00 90.00 120.00
Atoms (fractional coordinates):
B (0.333, 0.667, 0.500)
Pt (0.500, 0.000, 0.288)
Pt (0.000, 0.500, 0.288)
B (0.667, 0.333, 0.500)
Pt (0.500, 0.000, 0.712)
Pt (0.500, 0.500, 0.712)
La (0.000, 0.000, 0.500)
Pr (0.000, 0.000, 0.000)
Pt (0.500, 0.500, 0.288)
Ni (0.333, 0.667, 0.000)
Ni (0.667, 0.333, 0.000)
Pt (0.000, 0.500, 0.712)

Output
As for the space-group type: P6/mmm, No. 191. The value obtained for the polymorph energy (0 for the lowest one) is 11.0 meV/atom.

3.
Density functional theory data (PBE) for an optimized crystal structure of YReBi2.

a b c (Å): 5.136 5.136 5.136
angles (deg): 60.00 60.00 60.00
Atoms (fractional coordinates):
Y (0.500, 0.500, 0.500)
Re (0.750, 0.750, 0.750)
Bi (0.000, 0.000, 0.000)
Bi (0.250, 0.250, 0.250)

Output
As for the electronic total energy: -6.24 eV per atom. As for the space-group type: F-43m, No. 216.

4.
Density functional theory data (PBE) for an optimized crystal structure of SrErNp.

a b c (Å): 5.639 5.639 5.639
angles (deg): 60.00 60.00 60.00
Atoms (fractional coordinates):
Er (0.000, 0.000, 0.000)
Np (0.250, 0.250, 0.250)
Sr (0.750, 0.750, 0.750)

Output
As for the space-group type: F-43m, No. 216. The value obtained for the polymorph energy (0 for the lowest one) is 0.0 meV/atom.

5.
Density functional theory data (PBE) for an optimized crystal structure of HoLuOs.

a b c (Å): 7.328 4.268 8.781
angles (deg): 90.00 90.00 90.00
Atoms (fractional coordinates):
Lu (0.022, 0.250, 0.664)
Ho (0.351, 0.750, 0.567)
Lu (0.478, 0.750, 0.164)
Lu (0.978, 0.750, 0.336)
Ho (0.149, 0.250, 0.067)
Ho (0.649, 0.250, 0.433)
Ho (0.851, 0.750, 0.933)
Lu (0.522, 0.250, 0.836)
Os (0.749, 0.750, 0.622)
Os (0.751, 0.250, 0.122)
Os (0.251, 0.250, 0.378)
Os (0.249, 0.750, 0.878)

Output
As for the space-group type: Pnma, No. 62. The value obtained for the polymorph energy (0 for the lowest one) is 48.9 meV/atom.

6.
Density functional theory data (PBE) for an optimized crystal structure of CsDy2Cu3Se4S.

a b c (Å): 7.629 7.629 17.188
angles (deg): 90.00 90.00 148.86
Atoms (fractional coordinates):
S (0.730, 0.270, 0.250)
Se (0.940, 0.060, 0.614)
Cu (0.916, 0.084, 0.470)
Cu (0.838, 0.162, 0.750)
Se (0.060, 0.940, 0.114)
Cs (0.566, 0.434, 0.750)
Dy (0.307, 0.693, 0.905)
Dy (0.693, 0.307, 0.405)
Se (0.668, 0.332, 0.930)
Se (0.060, 0.940, 0.386)
Dy (0.693, 0.307, 0.095)
Se (0.940, 0.060, 0.886)
Cu (0.162, 0.838, 0.250)
Se (0.332, 0.668, 0.070)
Cu (0.084, 0.916, 0.530)
Cu (0.916, 0.084, 0.030)
Dy (0.307, 0.693, 0.595)
Cs (0.434, 0.566, 0.250)
Se (0.668, 0.332, 0.570)
S (0.270, 0.730, 0.750)
Cu (0.084, 0.916, 0.970)
Se (0.332, 0.668, 0.430)

Output
As for the electronic total energy: -4.73 eV per atom. As for the space-group type: Cmcm, No. 63.

7.
Density functional theory data (PBE) for an optimized crystal structure of Ni5W7.

a b c (Å): 5.074 5.074 16.220
angles (deg): 90.00 90.00 120.00
Atoms (fractional coordinates):
W (0.667, 0.333, 0.615)
W (0.667, 0.333, 0.347)
W (0.836, 0.164, 0.750)
W (0.333, 0.667, 0.115)
W (0.836, 0.673, 0.750)
Ni (0.000, 0.500, 0.000)
W (0.667, 0.333, 0.153)
W (0.673, 0.836, 0.250)
W (0.667, 0.333, 0.885)
W (0.333, 0.667, 0.653)
W (0.333, 0.667, 0.385)
W (0.164, 0.836, 0.250)
Ni (0.000, 0.000, 0.404)
Ni (0.000, 0.000, 0.096)
Ni (0.000, 0.000, 0.904)
Ni (0.000, 0.500, 0.500)
Ni (0.500, 0.000, 0.500)
W (0.327, 0.164, 0.750)
Ni (0.500, 0.500, 0.000)
Ni (0.000, 0.000, 0.596)
W (0.164, 0.327, 0.250)
Ni (0.500, 0.000, 0.000)
Ni (0.500, 0.500, 0.500)
W (0.333, 0.667, 0.847)

Output
As for the space-group type: P6_3/mmc, No. 194. The value obtained for the polymorph energy (0 for the lowest one) is 272.5 meV/atom.

8.
Density functional theory data (PBE) for an optimized crystal structure of ReP.

a b c (Å): 3.332 3.332 2.985
angles (deg): 90.00 90.00 120.00
Atoms (fractional coordinates):
Re (0.333, 0.667, 0.250)
P (0.667, 0.333, 0.750)

Output
As for the space-group type: P-6m2, No. 187. The value obtained for the polymorph energy (0 for the lowest one) is 0.0 meV/atom.